Material: MoOsRu
Method: DFT, PBE
State: optimized geometry Values from VASP.

Quantum ESPRESSO input file:
```
&SYSTEM
  ibrav = 0, nat = 3, ntyp = 3
/
ATOMIC_SPECIES
Mo 95.94 Mo.upf
Os 190.23 Os.upf
Ru 101.07 Ru.upf
CELL_PARAMETERS angstrom
4.365 0.000 0.000
-2.183 3.780 0.000
0.000 0.000 2.722
ATOMIC_POSITIONS angstrom
Mo 0.000 0.000 0.454
Os 0.000 2.520 0.454
Ru 2.183 1.260 1.815
```

Values from the calculation:
Energy: -10.2815 eV per atom
E above lowest polymorph: 81 meV per atom
Magnetic moment: 0.000 μB/cell